SrNi2PSe | PBE | optimized geometry

Cell lengths 4.259, 5.707, 4.259 Å; angles 90.00, 90.00, 90.00 degrees
Each line ends with the local moment (μB).
Positions (direct):
Sr1 0.500 0.500 0.500  0.00
P1 0.000 0.000 0.000  0.04
Se1 0.000 0.500 0.000  0.00
Ni1 0.000 0.000 0.500  0.23
Ni2 0.500 0.000 0.000  0.39

calculated volume: 103.5 Å³/f.u.
crystal system: tetragonal
mass density: 5.05 g cm⁻³
SG: P4/mmm (123)
uncorrected energy: -4.891 eV/atom